Entry 1:
Crystalline MgTa2Rh at its relaxed geometry, computed with PBE.

The structure in POSCAR format:
```
MgTa2Rh
1.0
-0.634 0.087 4.555
-2.922 -2.954 1.972
1.608 -3.428 2.612
Mg Ta Rh
1 2 1
direct
0.500 0.500 0.500
0.250 0.250 0.250
0.000 0.000 0.000
0.750 0.750 0.750
```

Calculated values
Total magnetization (μB/f.u.): 2.1
E (Ha/atom): -0.2960
Symmetry: F-43m, No. 216
Formation enthalpy at 0 K (eV/atom): 0.108
DOS(E_F) (states/eV per atom): 1.1934

=====

Entry 2:
Crystalline Mg2TaRh at its relaxed geometry, computed with PBE.

The structure in POSCAR format:
```
Mg2TaRh
1.0
-2.706 -0.264 -3.670
0.509 -2.827 -0.172
-3.855 -2.386 3.014
Mg Ta Rh
2 1 1
direct
0.000 0.074 0.015
0.000 0.426 0.485
0.500 0.750 0.750
0.500 0.250 0.250
```

Calculated values
Polymorph energy (0 for the lowest one) (eV/f.u.): 0.77
Total magnetization (μB/f.u.): 0.0
E (Ha/atom): -0.2067
Symmetry: P2/m, No. 10
Formation enthalpy at 0 K (eV/atom): -0.026
DOS(E_F) (states/eV per atom): 0.5857

=====

> Look up the formation enthalpy at 0 K of the first one.

0.108 eV/atom